Model one:
Computed, not measured: crystalline PrBeOs at its relaxed geometry at the PBE level of DFT.

Results
The spin magnetization is 0.0 μB/f.u.

Lattice parameters (Å, degrees): 6.5206 6.5206 6.5206 90.00 90.00 90.00
With the nearest neighbours (Å) after each atom.
Space group F-43m (No. 216)
Symmetry-distinct sites (fractional):
1 Pr 0.0000 0.0000 0.0000 x4  4 Be 2.82, 4 Os 2.82
2 Be 0.2500 0.2500 0.7500 x4  4 Pr 2.82
3 Os 0.2500 0.2500 0.2500 x4  4 Pr 2.82

***

Model two:
Computed, not measured: crystalline PrBeOs at its relaxed geometry at the PBE level of DFT.

Results
The spin magnetization is 0.1 μB/f.u.

Lattice parameters (Å, degrees): 6.3479 6.3479 6.3479 90.00 90.00 90.00
With the nearest neighbours (Å) after each atom.
Space group F-43m (No. 216)
Symmetry-distinct sites (fractional):
1 Pr 0.0000 0.0000 0.0000 x4  4 Os 2.75
2 Be 0.0000 0.0000 0.5000 x4  4 Os 2.75
3 Os 0.2500 0.2500 0.7500 x4  4 Pr 2.75, 4 Be 2.75

***

Model three:
Computed, not measured: crystalline PrBeOs at its relaxed geometry at the PBE level of DFT.

Results
The spin magnetization is 0.0 μB/f.u.

Lattice parameters (Å, degrees): 6.1310 6.1310 6.1310 90.00 90.00 90.00
With the nearest neighbours (Å) after each atom.
Space group F-43m (No. 216)
Symmetry-distinct sites (fractional):
1 Pr 0.0000 0.0000 0.0000 x4  4 Be 2.65
2 Be 0.2500 0.2500 0.7500 x4  4 Pr 2.65, 4 Os 2.65
3 Os 0.0000 0.0000 0.5000 x4  4 Be 2.65

***

Most stable structure, least stable structure: model three, model one.

***

Model one:
Computed, not measured: crystalline RbBeOs at its relaxed geometry at the PBE level of DFT.

Results
The spin magnetization is 1.1 μB/f.u.

Lattice parameters (Å, degrees): 6.3877 6.3877 6.3877 90.00 90.00 90.00
With the nearest neighbours (Å) after each atom.
Space group F-43m (No. 216)
Symmetry-distinct sites (fractional):
1 Rb 0.0000 0.0000 0.0000 x4  4 Be 2.77
2 Be 0.2500 0.2500 0.7500 x4  4 Rb 2.77, 4 Os 2.77
3 Os 0.0000 0.0000 0.5000 x4  4 Be 2.77

***

Model two:
Computed, not measured: crystalline RbBeOs at its relaxed geometry at the PBE level of DFT.

Results
The spin magnetization is 3.0 μB/f.u.

Lattice parameters (Å, degrees): 7.1922 7.1922 7.1922 90.00 90.00 90.00
With the nearest neighbours (Å) after each atom.
Space group F-43m (No. 216)
Symmetry-distinct sites (fractional):
1 Rb 0.0000 0.0000 0.0000 x4  4 Be 3.11, 4 Os 3.11
2 Be 0.2500 0.2500 0.7500 x4  4 Rb 3.11
3 Os 0.2500 0.2500 0.2500 x4  4 Rb 3.11

***

Most stable structure, least stable structure: model one, model two.

***

Model one:
Computed, not measured: crystalline RbBeReOs at its relaxed geometry at the PBE level of DFT.

Results
The spin magnetization is 0.0 μB/f.u.

Lattice parameters (Å, degrees): 6.4147 6.4147 6.4147 90.00 90.00 90.00
With the nearest neighbours (Å) after each atom.
Space group F-43m (No. 216)
Symmetry-distinct sites (fractional):
1 Rb 0.0000 0.0000 0.0000 x4  4 Re 2.78, 4 Be 2.78
2 Be 0.2500 0.2500 0.7500 x4  4 Rb 2.78, 4 Os 2.78
3 Re 0.2500 0.2500 0.2500 x4  4 Os 2.78, 4 Rb 2.78
4 Os 0.0000 0.0000 0.5000 x4  4 Be 2.78, 4 Re 2.78

***

Model two:
Computed, not measured: crystalline RbBeReOs at its relaxed geometry at the PBE level of DFT.

Results
The spin magnetization is 0.7 μB/f.u.

Lattice parameters (Å, degrees): 6.3181 6.3181 6.3181 90.00 90.00 90.00
With the nearest neighbours (Å) after each atom.
Space group F-43m (No. 216)
Symmetry-distinct sites (fractional):
1 Rb 0.0000 0.0000 0.0000 x4  4 Os 2.74, 4 Re 2.74
2 Be 0.0000 0.0000 0.5000 x4  4 Re 2.74, 4 Os 2.74
3 Re 0.2500 0.2500 0.2500 x4  4 Be 2.74, 4 Rb 2.74
4 Os 0.2500 0.2500 0.7500 x4  4 Be 2.74, 4 Rb 2.74

***

Most stable structure, least stable structure: model one, model two.